No. 1
The following is a PBE calculation of a geometry-optimized LiHg2PO4 structure, from the Alexandria database.

abc: 5.4009 5.4009 7.9213
angles: 90.00 90.00 90.00
Sites, in units of the cell vectors:
Li (0.0000, 0.0000, 0.0000)
Li (0.5000, 0.5000, 0.5000)
Hg (0.0000, 0.0000, 0.5000)
Hg (0.0000, 0.5000, 0.7500)
Hg (0.5000, 0.0000, 0.2500)
Hg (0.5000, 0.5000, 0.0000)
P (0.0000, 0.5000, 0.2500)
P (0.5000, 0.0000, 0.7500)
O (0.1290, 0.6955, 0.1337)
O (0.1955, 0.3710, 0.3663)
O (0.3045, 0.1290, 0.8663)
O (0.3710, 0.8045, 0.6337)
O (0.6290, 0.1955, 0.6337)
O (0.6955, 0.8710, 0.8663)
O (0.8045, 0.6290, 0.3663)
O (0.8710, 0.3045, 0.1337)

Results
Mass density (kg/m3): 7231
Calculated volume (Å³ per atom): 14.44
E_tot (eV/cell): -78.18

---

No. 2
The following is a PBE calculation of a geometry-optimized LiPaHg2O6 structure, from the Alexandria database.

abc: 5.6437 5.4123 11.0173
angles: 90.00 116.16 90.00
Sites, in units of the cell vectors:
Li (0.0000, 0.0000, 0.0000)
Li (0.0000, 0.5000, 0.5000)
Pa (0.5000, 0.0000, 0.5000)
Pa (0.5000, 0.5000, 0.0000)
Hg (0.1961, 0.0120, 0.6969)
Hg (0.1961, 0.4880, 0.1969)
Hg (0.8039, 0.5120, 0.8031)
Hg (0.8039, 0.9880, 0.3031)
O (0.1505, 0.2118, 0.3291)
O (0.1505, 0.2882, 0.8291)
O (0.2142, 0.7163, 0.0276)
O (0.2142, 0.7837, 0.5276)
O (0.4605, 0.2436, 0.6437)
O (0.4605, 0.2564, 0.1437)
O (0.5395, 0.7436, 0.8563)
O (0.5395, 0.7564, 0.3563)
O (0.7859, 0.2163, 0.4724)
O (0.7859, 0.2837, 0.9724)
O (0.8495, 0.7118, 0.1709)
O (0.8495, 0.7882, 0.6709)

Results
Mass density (kg/m3): 8083
Calculated volume (Å³ per atom): 15.10
E_tot (eV/cell): -112.24
N(E_F) (states/eV/f.u.): 5.973

---

No. 3
The following is a PBE calculation of a geometry-optimized LiPaHg2O8 structure, from the Alexandria database.

abc: 6.9054 6.9054 6.9054
angles: 117.94 117.94 93.61
Sites, in units of the cell vectors:
Li (0.0000, 0.0000, 0.0000)
Pa (0.7500, 0.2500, 0.5000)
Hg (0.2500, 0.7500, 0.5000)
Hg (0.5000, 0.5000, 0.0000)
O (0.3632, 0.0582, 0.3050)
O (0.3827, 0.1852, 0.1976)
O (0.7532, 0.0582, 0.6950)
O (0.8148, 0.0124, 0.1976)
O (0.8148, 0.6173, 0.8024)
O (0.9418, 0.2468, 0.3050)
O (0.9418, 0.6368, 0.6950)
O (0.9876, 0.1852, 0.8024)

Results
Mass density (kg/m3): 5317
Calculated volume (Å³ per atom): 19.96
E_tot (eV/cell): -63.28
N(E_F) (states/eV/f.u.): 5.573

---

No. 4
The following is a PBE calculation of a geometry-optimized Li2PaHgO6 structure, from the Alexandria database.

abc: 5.3701 5.7046 5.7452
angles: 60.36 68.72 89.97
Sites, in units of the cell vectors:
Li (0.1445, 0.2370, 0.0275)
Li (0.8555, 0.7630, 0.9725)
Pa (0.5000, 0.0000, 0.5000)
Hg (0.0000, 0.5000, 0.5000)
O (0.1535, 0.1639, 0.6930)
O (0.1528, 0.6446, 0.6927)
O (0.4624, 0.1859, 0.1285)
O (0.5376, 0.8141, 0.8715)
O (0.8472, 0.3554, 0.3073)
O (0.8465, 0.8361, 0.3070)

Results
Mass density (kg/m3): 6469
Calculated volume (Å³ per atom): 13.90
E_tot (eV/cell): -60.38
N(E_F) (states/eV/f.u.): 2.309

---

Energy relative to the elements, uncorrected readings, ordered: -1.42 -1.44 -0.97 -1.70 eV per atom